#one
# Ce2LuPt

A relaxed structure of Ce2LuPt (PBE, Alexandria).

```
Ce2LuPt
1.0
3.778 0.000 0.000
0.000 3.778 0.000
0.000 0.000 7.312
Lu Ce Pt
1 2 1
Cartesian
1.889 1.889 3.656
0.000 0.000 5.846
0.000 0.000 1.466
1.889 1.889 0.000
```

Computed properties:
Space-group type: P4/mmm, No. 123
Total magnetic moment in μB/atom: 0.29

#two
# Ce2LuPt

A relaxed structure of Ce2LuPt (PBE, Alexandria).

```
Ce2LuPt
1.0
3.588 0.000 0.000
1.794 3.107 0.000
1.794 1.036 10.364
Lu Ce Pt
1 2 1
Cartesian
0.000 0.000 0.000
1.794 1.036 7.176
5.381 3.107 3.188
3.588 2.071 5.182
```

Computed properties:
Space-group type: R-3m, No. 166
Total magnetic moment in μB/atom: 0.57

Result of the stability comparison: #one is the most stable of them.

#one
# CeLuPt

A relaxed structure of CeLuPt (PBE, Alexandria).

```
CeLuPt
1.0
4.105 0.000 0.000
0.000 4.635 0.000
0.000 -2.318 4.014
Lu Pt Ce
1 1 1
Cartesian
0.965 0.000 2.676
0.206 0.000 0.000
2.933 2.318 1.338
```

Computed properties:
Space-group type: P3m1, No. 156
Total magnetic moment in μB/atom: 0.30

#two
# CeLuPt

A relaxed structure of CeLuPt (PBE, Alexandria).

```
CeLuPt
1.0
4.870 0.000 0.000
2.435 4.218 0.000
2.435 1.406 3.977
Lu Ce Pt
1 1 1
Cartesian
0.000 0.000 0.000
4.870 2.812 1.988
2.435 1.406 0.994
```

Computed properties:
Space-group type: F-43m, No. 216
Total magnetic moment in μB/atom: 0.28

Result of the stability comparison: #two is the most stable of them.

#one
# CeLuPu

A relaxed structure of CeLuPu (PBE, Alexandria).

```
CeLuPu
1.0
3.431 0.000 0.000
0.000 3.431 0.000
-1.715 -1.715 7.014
Lu Ce Pu
1 1 1
Cartesian
0.000 0.000 4.653
0.000 0.000 0.131
1.715 1.715 2.230
```

Computed properties:
Space-group type: I4mm, No. 107
Total magnetic moment in μB/atom: 1.70

#two
# CeLuPu

A relaxed structure of CeLuPu (PBE, Alexandria).

```
CeLuPu
1.0
-0.624 -0.474 3.145
-5.128 -1.467 -1.239
3.953 -3.782 0.215
Lu Ce Pu
1 1 1
Cartesian
-2.205 -2.317 -0.232
0.510 -3.326 1.828
-0.104 -0.079 0.525
```

Computed properties:
Space-group type: P-6m2, No. 187
Total magnetic moment in μB/atom: 2.20

Result of the stability comparison: #one is the most stable of them.

#one
# CeLuRh

A relaxed structure of CeLuRh (PBE, Alexandria).

```
CeLuRh
1.0
-3.644 -1.346 1.124
1.794 -4.059 0.956
-0.196 3.208 3.207
Lu Rh Ce
1 1 1
Cartesian
-1.579 -2.638 2.542
-3.561 -1.315 1.098
-0.551 0.409 2.771
```

Computed properties:
Space-group type: P3m1, No. 156
Total magnetic moment in μB/atom: 0.22

#two
# CeLuRh

A relaxed structure of CeLuRh (PBE, Alexandria).

```
CeLuRh
1.0
-3.000 -0.220 1.677
1.670 -0.927 2.865
1.139 6.412 -0.659
Lu Rh Ce
1 1 1
Cartesian
0.285 3.513 0.970
-0.502 1.423 2.823
0.027 0.329 0.091
```

Computed properties:
Space-group type: I4mm, No. 107
Total magnetic moment in μB/atom: 0.49

Result of the stability comparison: #two is the most stable of them.

#one
# CeLu2Rh

A relaxed structure of CeLu2Rh (PBE, Alexandria).

```
CeLu2Rh
1.0
-0.253 3.501 0.911
-2.639 2.053 -1.404
-6.593 -0.438 7.069
Lu Rh Ce
2 1 1
Cartesian
-1.981 1.438 1.143
-7.504 3.679 5.433
0.000 0.000 0.000
-4.743 2.558 3.288
```

Computed properties:
Space-group type: R-3m, No. 166
Total magnetic moment in μB/atom: 0.39

#two
# CeLu2Rh

A relaxed structure of CeLu2Rh (PBE, Alexandria).

```
CeLu2Rh
1.0
-1.983 -2.366 -1.365
2.484 -2.264 0.315
-2.893 -2.087 7.819
Lu Rh Ce
2 1 1
Cartesian
-2.343 -1.690 6.332
-0.550 -0.397 1.487
0.251 -2.315 -0.525
-1.196 -3.358 3.385
```

Computed properties:
Space-group type: P4/mmm, No. 123
Total magnetic moment in μB/atom: 0.29

Result of the stability comparison: #two is the most stable of them.

#one
# CeLuRu

A relaxed structure of CeLuRu (PBE, Alexandria).

```
CeLuRu
1.0
-1.709 -1.572 -2.398
1.752 -2.783 0.576
-4.432 0.306 5.282
Ru Lu Ce
1 1 1
Cartesian
-1.428 -2.793 0.525
-0.329 -0.140 0.326
-2.632 -1.117 2.608
```

Computed properties:
Space-group type: I4mm, No. 107
Total magnetic moment in μB/atom: 0.27

#two
# CeLuRu

A relaxed structure of CeLuRu (PBE, Alexandria).

```
CeLuRu
1.0
-0.913 -2.078 4.184
1.568 -4.412 0.859
3.521 -0.708 3.124
Ru Lu Ce
1 1 1
Cartesian
1.044 -1.800 2.042
0.000 0.000 0.000
2.088 -3.599 4.084
```

Computed properties:
Space-group type: F-43m, No. 216
Total magnetic moment in μB/atom: 0.23

Result of the stability comparison: #one is the most stable of them.

#one
# Ce2LuSb

A relaxed structure of Ce2LuSb (PBE, Alexandria).

```
Ce2LuSb
1.0
5.088 0.000 0.000
0.000 4.527 0.000
0.000 0.000 4.527
Sb Lu Ce
1 1 2
Cartesian
2.544 2.264 2.264
2.544 0.000 0.000
0.000 0.000 2.264
0.000 2.264 0.000
```

Computed properties:
Space-group type: P4/mmm, No. 123
Total magnetic moment in μB/atom: 0.23

#two
# Ce2LuSb

A relaxed structure of Ce2LuSb (PBE, Alexandria).

```
Ce2LuSb
1.0
-1.969 0.786 3.306
1.711 -0.574 3.488
3.261 9.104 2.109
Sb Lu Ce
1 1 2
Cartesian
0.000 0.000 0.000
1.502 4.658 4.451
0.651 2.059 2.230
2.353 7.258 6.672
```

Computed properties:
Space-group type: R-3m, No. 166
Total magnetic moment in μB/atom: 0.44

Result of the stability comparison: #one is the most stable of them.

#one
# CeLuSc

A relaxed structure of CeLuSc (PBE, Alexandria).

```
CeLuSc
1.0
3.298 0.000 0.000
0.000 5.370 0.000
0.000 -2.685 4.651
Sc Lu Ce
1 1 1
Cartesian
0.553 0.000 3.101
2.198 2.685 1.550
0.547 0.000 0.000
```

Computed properties:
Space-group type: P3m1, No. 156
Total magnetic moment in μB/atom: 0.37

#two
# CeLuSc

A relaxed structure of CeLuSc (PBE, Alexandria).

```
CeLuSc
1.0
3.380 0.000 0.000
0.000 3.380 0.000
-1.690 -1.690 7.254
Sc Lu Ce
1 1 1
Cartesian
1.690 1.690 6.502
1.690 1.690 1.666
0.000 0.000 4.163
```

Computed properties:
Space-group type: I4mm, No. 107
Total magnetic moment in μB/atom: 0.21

Result of the stability comparison: #two is the most stable of them.

#one
# Ce2LuSc

A relaxed structure of Ce2LuSc (PBE, Alexandria).

```
Ce2LuSc
1.0
-0.232 -2.853 3.979
4.056 -2.140 -1.298
2.493 3.232 2.462
Sc Lu Ce
1 1 2
Cartesian
-0.116 -1.426 1.990
3.159 -0.880 2.572
1.246 1.616 1.231
2.028 -1.070 -0.649
```

Computed properties:
Space-group type: P4/mmm, No. 123
Total magnetic moment in μB/atom: 0.35

#two
# Ce2LuSc

A relaxed structure of Ce2LuSc (PBE, Alexandria).

```
Ce2LuSc
1.0
5.469 0.000 0.000
2.734 4.736 0.000
2.734 1.579 4.465
Sc Lu Ce
1 1 2
Cartesian
5.469 3.157 2.233
0.000 0.000 0.000
2.734 1.579 1.116
8.203 4.736 3.349
```

Computed properties:
Space-group type: Fm-3m, No. 225
Total magnetic moment in μB/atom: 0.31

Result of the stability comparison: #one is the most stable of them.

#one
# CeSm2Lu

A relaxed structure of CeSm2Lu (PBE, Alexandria).

```
CeSm2Lu
1.0
-0.079 -1.592 3.035
-0.147 -3.422 0.137
12.273 -2.199 1.103
Lu Ce Sm
1 1 2
Cartesian
6.024 -3.606 2.137
0.000 0.000 0.000
8.981 -2.058 1.090
3.066 -5.154 3.183
```

Computed properties:
Space-group type: R-3m, No. 166
Total magnetic moment in μB/atom: 0.18

#two
# CeSm2Lu

A relaxed structure of CeSm2Lu (PBE, Alexandria).

```
CeSm2Lu
1.0
5.013 0.000 0.000
0.000 5.027 0.000
0.000 0.000 5.027
Lu Ce Sm
1 1 2
Cartesian
2.506 2.514 2.514
2.506 0.000 0.000
0.000 0.000 2.514
0.000 2.514 0.000
```

Computed properties:
Space-group type: P4/mmm, No. 123
Total magnetic moment in μB/atom: 0.16

Result of the stability comparison: #two is the most stable of them.

#one
# CeSm2Lu

A relaxed structure of CeSm2Lu (PBE, Alexandria).

```
CeSm2Lu
1.0
-1.191 -3.204 0.908
3.238 -1.339 -0.477
2.215 1.915 9.666
Lu Ce Sm
1 1 2
Cartesian
1.024 -2.271 0.215
2.131 -1.313 5.049
1.657 1.433 7.233
0.558 0.482 2.434
```

Computed properties:
Space-group type: P4/mmm, No. 123
Total magnetic moment in μB/atom: 0.13

#two
# CeSm2Lu

A relaxed structure of CeSm2Lu (PBE, Alexandria).

```
CeSm2Lu
1.0
-2.225 4.891 1.866
-5.293 0.106 2.080
-0.853 0.796 5.568
Lu Sm Ce
1 2 1
Cartesian
0.000 0.000 0.000
-2.093 1.449 2.378
-6.278 4.346 7.135
-4.185 2.897 4.757
```

Computed properties:
Space-group type: Fm-3m, No. 225
Total magnetic moment in μB/atom: 0.81

Result of the stability comparison: #one is the most stable of them.

#one
# TbCeLu2

A relaxed structure of TbCeLu2 (PBE, Alexandria).

```
TbCeLu2
1.0
-1.176 -2.265 -2.400
3.288 -1.016 -0.652
-0.765 -6.905 6.893
Lu Tb Ce
2 1 1
Cartesian
-0.577 -5.208 5.198
-0.188 -1.697 1.694
0.674 -5.093 1.920
1.056 -1.640 -1.526
```

Computed properties:
Space-group type: P4/mmm, No. 123
Total magnetic moment in μB/atom: 0.18

#two
# TbCeLu2

A relaxed structure of TbCeLu2 (PBE, Alexandria).

```
TbCeLu2
1.0
5.580 0.000 0.000
2.790 4.833 0.000
2.790 1.611 4.556
Lu Tb Ce
2 1 1
Cartesian
2.790 1.611 1.139
8.370 4.833 3.417
0.000 0.000 0.000
5.580 3.222 2.278
```

Computed properties:
Space-group type: Fm-3m, No. 225
Total magnetic moment in μB/atom: 0.13

#three
# TbCeLu2

A relaxed structure of TbCeLu2 (PBE, Alexandria).

```
TbCeLu2
1.0
-1.859 1.933 -2.225
-3.418 -0.570 -0.368
-3.891 7.912 7.397
Lu Tb Ce
2 1 1
Cartesian
-6.882 6.977 3.624
-2.287 2.300 1.179
-4.584 4.638 2.402
0.000 0.000 0.000
```

Computed properties:
Space-group type: R-3m, No. 166
Total magnetic moment in μB/atom: 0.16

Result of the stability comparison: #three is the most stable of them.

#one
# CeLuTc

A relaxed structure of CeLuTc (PBE, Alexandria).

```
CeLuTc
1.0
-3.188 0.457 3.493
-4.631 -0.515 -0.928
-2.334 -3.817 1.600
Lu Tc Ce
1 1 1
Cartesian
0.000 0.000 0.000
-2.538 -0.969 1.041
-5.077 -1.938 2.082
```

Computed properties:
Space-group type: F-43m, No. 216
Total magnetic moment in μB/atom: 0.00

#two
# CeLuTc

A relaxed structure of CeLuTc (PBE, Alexandria).

```
CeLuTc
1.0
-0.250 2.265 -2.540
2.454 -2.880 -2.810
-4.699 -0.320 0.177
Lu Tc Ce
1 1 1
Cartesian
-2.490 0.415 -2.600
-0.009 0.084 -0.094
0.004 -1.434 -2.480
```

Computed properties:
Space-group type: P3m1, No. 156
Total magnetic moment in μB/atom: 0.00

#three
# CeLuTc

A relaxed structure of CeLuTc (PBE, Alexandria).

```
CeLuTc
1.0
3.383 0.000 0.000
0.000 3.383 0.000
-1.691 -1.691 6.307
Lu Tc Ce
1 1 1
Cartesian
0.000 0.000 0.420
1.691 1.691 2.145
0.000 0.000 3.742
```

Computed properties:
Space-group type: I4mm, No. 107
Total magnetic moment in μB/atom: 0.00

Result of the stability comparison: #three is the most stable of them.

#one
# CeLuTc2

A relaxed structure of CeLuTc2 (PBE, Alexandria).

```
CeLuTc2
1.0
-1.278 4.181 -1.976
-1.973 0.083 -4.373
-4.644 1.089 -0.516
Lu Tc Ce
1 2 1
Cartesian
-3.948 2.676 -3.433
-1.974 1.338 -1.716
-5.921 4.014 -5.149
0.000 0.000 0.000
```

Computed properties:
Space-group type: Fm-3m, No. 225
Total magnetic moment in μB/atom: 0.00

#two
# CeLuTc2

A relaxed structure of CeLuTc2 (PBE, Alexandria).

```
CeLuTc2
1.0
-2.012 2.649 0.648
-1.847 -0.732 -2.745
-4.022 -3.976 3.765
Lu Tc Ce
1 2 1
Cartesian
-3.940 -1.030 0.834
-3.093 -3.058 2.896
-0.929 -0.918 0.869
-1.929 0.958 -1.049
```

Computed properties:
Space-group type: P4/mmm, No. 123
Total magnetic moment in μB/atom: 0.00

Result of the stability comparison: #two is the most stable of them.

#one
# CeLuTe

A relaxed structure of CeLuTe (PBE, Alexandria).

```
CeLuTe
1.0
3.870 0.000 0.000
0.000 3.870 0.000
-1.935 -1.935 5.776
Lu Te Ce
1 1 1
Cartesian
0.000 0.000 3.637
1.935 1.935 2.061
0.000 0.000 0.077
```

Computed properties:
Space-group type: I4mm, No. 107
Total magnetic moment in μB/atom: 0.41

#two
# CeLuTe

A relaxed structure of CeLuTe (PBE, Alexandria).

```
CeLuTe
1.0
-2.651 -0.886 2.638
-0.936 -4.439 -2.431
3.592 0.211 3.680
Lu Te Ce
1 1 1
Cartesian
-0.439 -0.147 0.437
1.636 -1.488 2.088
-1.191 -3.479 1.363
```

Computed properties:
Space-group type: P3m1, No. 156
Total magnetic moment in μB/atom: 0.71

Result of the stability comparison: #one is the most stable of them.